Here is a relaxed structure of Fe2HCl6 from the Alexandria database. Energies are from PBE.

a = 6.363 Å, b = 9.408 Å, c = 9.408 Å
α = 90.82°, β = 97.62°, γ = 97.62°
Positions (direct):
Cl1 0.163 0.021 0.249
Cl2 0.855 0.608 0.196
Cl3 0.641 0.587 0.724
Cl4 0.645 0.804 0.392
Cl5 0.359 0.413 0.276
Cl6 0.663 0.249 0.021
Cl7 0.355 0.196 0.608
Cl8 0.141 0.724 0.587
Cl9 0.859 0.276 0.413
Cl10 0.145 0.392 0.804
Cl11 0.837 0.979 0.751
Cl12 0.337 0.751 0.979
Fe1 0.809 0.786 0.622
Fe2 0.691 0.378 0.214
Fe3 0.309 0.622 0.786
Fe4 0.191 0.214 0.378
H1 0.750 0.703 0.297
H2 0.250 0.297 0.703

DFT total energy in eV per atom: -4.146
Space-group type: C2/c (15)